(1)
Material: HfVMoIr
Method: DFT, PBE-GGA
State: relaxed

a b c (Å): 4.480 4.480 4.480
angles (deg): 60.00 60.00 60.00
Atoms (fractional coordinates):
Hf  0.000  0.000  0.000
V  0.500  0.500  0.500
Mo  0.250  0.250  0.250
Ir  0.750  0.750  0.750

Output
* uncorrected energy: -10.13 eV per atom
* calculated volume: 64 Å³ per cell
* crystal system: cubic
* SG: F-43m
* density: 13516 kg/m³
* formation energy: -444 meV per atom


(2)
Material: Mn3ZnPb
Method: DFT, PBE-GGA
State: relaxed

a b c (Å): 4.668 4.668 4.668
angles (deg): 90.00 90.00 90.00
Atoms (fractional coordinates):
Mn  0.000  0.000  0.500
Mn  0.000  0.500  0.000
Mn  0.500  0.000  0.000
Zn  0.000  0.000  0.000
Pb  0.500  0.500  0.500

Output
* uncorrected energy: -5.78 eV per atom
* calculated volume: 102 Å³ per cell
* energy above the most stable polymorph in this dataset: 0.0 meV per atom
* crystal system: cubic
* SG: Pm-3m
* density: 7140 kg/m³
* formation energy: 714 meV per atom


(3)
Material: Ga2NiCl
Method: DFT, PBE-GGA
State: relaxed

a b c (Å): 7.005 7.005 7.005
angles (deg): 130.15 130.15 73.16
Atoms (fractional coordinates):
Ga  0.054  0.625  0.929
Ga  0.375  0.304  0.429
Ga  0.696  0.125  0.071
Ga  0.875  0.946  0.571
Ni  0.000  0.000  0.000
Ni  0.750  0.250  0.500
Cl  0.250  0.750  0.500
Cl  0.500  0.500  0.000

Output
* uncorrected energy: -3.50 eV per atom
* calculated volume: 196 Å³ per cell
* energy above the most stable polymorph in this dataset: 0.0 meV per atom
* crystal system: tetragonal
* ΔE_f (raw): -0.08 eV per atom
* SG: I-42d
* density: 3957 kg/m³